This record from the Alexandria database describes a relaxed Pm2Sm2I7 crystal. The functional is PBE-GGA.

The structure in CIF format:
```
data_Pm2Sm2I7
_chemical_formula_sum 'Pm4 Sm4 I14'
_cell_length_a 9.279
_cell_length_b 13.412
_cell_length_c 8.271
_cell_angle_alpha 90.00
_cell_angle_beta 92.64
_cell_angle_gamma 90.00
_space_group_name_H-M_alt 'C 1 2/m 1'
_space_group_IT_number 12
loop_
_space_group_symop_operation_xyz
'x,y,z'
'-x,-y,-z'
'-x,y,-z'
'x,-y,z'
'x+1/2,y+1/2,z'
'-x+1/2,-y+1/2,-z'
'-x+1/2,y+1/2,-z'
'x+1/2,-y+1/2,z'
loop_
_atom_site_label
_atom_site_type_symbol
_atom_site_fract_x
_atom_site_fract_y
_atom_site_fract_z
Pm1 Pm 0.189 0.000 0.358
Sm1 Sm 0.000 0.135 0.000
I1 I 0.000 0.500 0.500
I2 I 0.144 0.000 0.741
I3 I 0.223 0.299 0.785
```

Summary:
size of the total moment	1.51	μB per formula unit
calculated volume	46.7	A^3/atom
raw formation energy	-10.94	eV per formula unit